(1)
Computed, not measured: a relaxed Co3CN crystal at the PBE level of DFT.

Properties
* density: 6.8 g cm⁻³
* polymorph energy (0 for the lowest one): 0.000 eV per atom
* raw total energy: -6.807 eV/atom
* E_form (uncorrected): 966 meV/atom
* space-group type: Pm-3m (221)
* crystal system: cubic

Cell and atoms, written as extended XYZ:
```
5
Lattice="3.668 0.000 0.000 0.000 3.668 0.000 0.000 0.000 3.668" Properties=species:S:1:pos:R:3 pbc="T T T"
Co 0.000 0.000 1.834
Co 0.000 1.834 0.000
Co 1.834 0.000 0.000
C 1.834 1.834 1.834
N 0.000 0.000 0.000
```



(2)
Computed, not measured: a relaxed Co2C3N6 crystal at the PBE level of DFT.

Properties
* density: 3.6 g cm⁻³
* polymorph energy (0 for the lowest one): 0.000 eV per atom
* raw total energy: -8.077 eV/atom
* E_form (uncorrected): 272 meV/atom
* space-group type: R-3c (167)
* crystal system: trigonal

Cell and atoms, written as extended XYZ:
```
22
Lattice="2.634 1.521 9.123 -2.634 1.521 9.123 0.000 -3.041 9.123" Properties=species:S:1:pos:R:3 pbc="T T T"
Co 0.000 0.000 4.512
Co 0.000 0.000 9.172
Co 0.000 0.000 18.196
Co 0.000 0.000 22.856
C -1.787 -0.054 11.403
C -0.847 -1.575 15.965
C 0.940 -1.521 11.403
C -0.940 1.521 15.965
C 0.847 1.575 11.403
C 1.787 0.054 15.965
N -1.623 -0.196 10.190
N -1.992 0.017 12.617
N -1.011 -1.717 14.751
N -0.642 -1.504 17.178
N 0.982 -1.308 10.190
N 0.982 -1.734 12.617
N -0.982 1.734 14.751
N -0.982 1.308 17.178
N 0.642 1.504 10.190
N 1.011 1.717 12.617
N 1.992 -0.017 14.751
N 1.623 0.196 17.178
```